No. 1
A PBEsol-optimized structure of TaHg2Cl. Source: Alexandria via LeMat-Bulk, functional meta-GGA SCAN.

Results
Energy relative to the elements, uncorrected = 730 meV per atom
Excess energy over the best structure of this formula in the dataset = 0.634 eV per atom
Electronic total energy = -51.9937 eV/atom
Theoretical density = 13.26 g/cm³
N(E_F) = 8.21 states/eV per cell

abc: 3.924 3.924 10.048
angles: 90.00 90.00 90.00
Space group I4/mmm (No. 139)
Symmetry-distinct sites (fractional):
1 Ta 0.000 0.000 0.000 x2
2 Hg 0.000 0.500 0.250 x4
3 Cl 0.000 0.000 0.500 x2

No. 2
A PBEsol-optimized structure of MnIrW2. Source: Alexandria via LeMat-Bulk, functional meta-GGA SCAN.

Results
Excess energy over the best structure of this formula in the dataset = 0.159 eV per atom
Electronic total energy = -57.1593 eV/atom
Formation energy = 0.54 kcal/mol of atoms
Theoretical density = 18.29 g/cm³
N(E_F) = 5.00 states/eV per cell

abc: 2.756 2.756 7.349
angles: 90.00 90.00 90.00
Space group P4/mmm (No. 123)
Symmetry-distinct sites (fractional):
1 Mn 0.000 0.000 0.000 x1
2 Ir 0.000 0.000 0.500 x1
3 W 0.500 0.500 0.232 x2